This record from the Alexandria database describes an optimized crystal structure of Sr3PS. The functional is PBE.

abc: 5.5717 5.5717 5.5717
angles: 90.00 90.00 90.00
Last column: nearest neighbours and their distance in Å.
Fractional coordinates of all 5 atoms:
Sr: 0.0000 0.0000 0.5000  2 S 2.79
Sr: 0.0000 0.5000 0.0000  2 S 2.79
Sr: 0.5000 0.0000 0.0000  2 S 2.79
P: 0.5000 0.5000 0.5000  12 Sr 3.94
S: 0.0000 0.0000 0.0000  6 Sr 2.79

Output
The value obtained for the total energy is -3.75 eV/atom. The calculation puts the formation energy (no corrections) at -0.829 eV/atom.